No. 1
This record from Alexandria via LeMat-Bulk describes CeEr2TmAs4 after structural relaxation. The functional is PBE.

Unit cell a=4.113 b=7.115 c=7.112 alpha=70.58 beta=90.00 gamma=90.00
Each line ends with the local moment (μB).
Element x y z (fractional)
Ce (0.500, 0.500, 0.000)  0.50
Er (0.000, 0.000, 0.000)  0.00
Er (0.500, 0.000, 0.500)  0.00
Tm (0.000, 0.500, 0.500)  0.00
As (0.000, 0.754, 0.745)  -0.01
As (0.000, 0.246, 0.255)  -0.01
As (0.500, 0.751, 0.252)  -0.01
As (0.500, 0.249, 0.748)  -0.01

Properties
ρ: 8.0 g cm⁻³
formation energy from the elements: -1.49 eV/atom

***

No. 2
This record from Alexandria via LeMat-Bulk describes CeErTm2As4 after structural relaxation. The functional is PBE.

Unit cell a=4.108 b=7.104 c=7.107 alpha=70.57 beta=90.00 gamma=90.00
Each line ends with the local moment (μB).
Element x y z (fractional)
Ce (0.500, 0.500, 0.000)  0.51
Er (0.000, 0.500, 0.500)  0.00
Tm (0.000, 0.000, 0.000)  0.00
Tm (0.500, 0.000, 0.500)  0.00
As (0.000, 0.756, 0.745)  -0.01
As (0.000, 0.244, 0.255)  -0.01
As (0.500, 0.753, 0.251)  -0.01
As (0.500, 0.247, 0.749)  -0.01

Properties
ρ: 8.0 g cm⁻³
formation energy from the elements: -1.49 eV/atom

***

No. 3
This record from Alexandria via LeMat-Bulk describes Ce2ErTmAs4 after structural relaxation. The functional is PBE.

Unit cell a=4.148 b=7.163 c=7.186 alpha=70.47 beta=90.00 gamma=90.00
Each line ends with the local moment (μB).
Element x y z (fractional)
Ce (0.000, 0.000, 0.000)  0.60
Ce (0.500, 0.000, 0.500)  0.59
Er (0.500, 0.500, 0.000)  0.00
Tm (0.000, 0.500, 0.500)  0.00
As (0.000, 0.743, 0.752)  -0.02
As (0.000, 0.257, 0.248)  -0.02
As (0.500, 0.742, 0.253)  -0.02
As (0.500, 0.258, 0.747)  -0.02

Properties
ρ: 7.6 g cm⁻³
formation energy from the elements: -1.47 eV/atom

***

No. 4
This record from Alexandria via LeMat-Bulk describes Ce2Er3UAs6 after structural relaxation. The functional is PBE.

Unit cell a=4.120 b=8.272 c=9.233 alpha=103.05 beta=102.89 gamma=90.00
Each line ends with the local moment (μB).
Element x y z (fractional)
Ce (0.834, 0.668, 0.669)  0.64
Ce (0.166, 0.332, 0.331)  0.64
Er (0.500, 0.500, 0.000)  0.01
Er (0.832, 0.167, 0.664)  0.01
Er (0.168, 0.833, 0.336)  0.01
U (0.500, 0.000, 0.000)  2.27
As (0.334, 0.923, 0.668)  -0.03
As (0.665, 0.587, 0.331)  -0.02
As (0.666, 0.077, 0.332)  -0.03
As (0.997, 0.248, 0.995)  -0.04
As (0.003, 0.752, 0.005)  -0.04
As (0.335, 0.413, 0.669)  -0.02

Properties
ρ: 8.2 g cm⁻³
formation energy from the elements: -1.35 eV/atom

***

No. 5
This record from Alexandria via LeMat-Bulk describes Ce3Y2ErAs6 after structural relaxation. The functional is PBE.

Unit cell a=7.219 b=7.219 c=7.201 alpha=99.62 beta=99.62 gamma=120.00
Each line ends with the local moment (μB).
Element x y z (fractional)
Ce (0.167, 0.833, 0.500)  0.59
Ce (0.833, 0.167, 0.500)  0.59
Ce (0.500, 0.500, 0.500)  0.60
Y (0.334, 0.666, 0.000)  0.01
Y (0.666, 0.334, 0.000)  0.01
Er (0.000, 0.000, 0.000)  0.00
As (0.918, 0.587, 0.755)  -0.02
As (0.750, 0.750, 0.246)  -0.02
As (0.082, 0.413, 0.245)  -0.02
As (0.587, 0.918, 0.755)  -0.02
As (0.250, 0.250, 0.754)  -0.02
As (0.413, 0.082, 0.245)  -0.02

Properties
ρ: 6.6 g cm⁻³
formation energy from the elements: -1.49 eV/atom

***

No. 6
This record from Alexandria via LeMat-Bulk describes Ce2Y3ErAs6 after structural relaxation. The functional is PBE.

Unit cell a=7.186 b=7.186 c=7.181 alpha=99.61 beta=99.61 gamma=119.99
Each line ends with the local moment (μB).
Element x y z (fractional)
Ce (0.334, 0.666, 0.000)  0.54
Ce (0.666, 0.334, 0.000)  0.54
Y (0.167, 0.833, 0.500)  0.01
Y (0.833, 0.167, 0.500)  0.01
Y (0.500, 0.500, 0.500)  0.01
Er (0.000, 0.000, 0.000)  0.01
As (0.917, 0.586, 0.749)  -0.01
As (0.754, 0.754, 0.252)  -0.01
As (0.083, 0.414, 0.251)  -0.01
As (0.586, 0.917, 0.749)  -0.01
As (0.246, 0.246, 0.748)  -0.01
As (0.414, 0.083, 0.251)  -0.01

Properties
ρ: 6.4 g cm⁻³
formation energy from the elements: -1.51 eV/atom

***

No. 7
This record from Alexandria via LeMat-Bulk describes CeY3Er2As6 after structural relaxation. The functional is PBE.

Unit cell a=7.142 b=7.142 c=7.148 alpha=99.59 beta=99.59 gamma=119.99
Each line ends with the local moment (μB).
Element x y z (fractional)
Ce (0.000, 0.000, 0.000)  0.46
Y (0.166, 0.834, 0.500)  0.00
Y (0.834, 0.166, 0.500)  0.00
Y (0.500, 0.500, 0.500)  0.00
Er (0.333, 0.667, 0.000)  0.00
Er (0.667, 0.333, 0.000)  0.00
As (0.917, 0.581, 0.751)  -0.01
As (0.747, 0.747, 0.248)  -0.01
As (0.083, 0.419, 0.249)  -0.01
As (0.581, 0.917, 0.751)  -0.01
As (0.253, 0.253, 0.752)  -0.01
As (0.419, 0.083, 0.249)  -0.01

Properties
ρ: 6.6 g cm⁻³
formation energy from the elements: -1.53 eV/atom

***

No. 8
This record from Alexandria via LeMat-Bulk describes Ce2ErZrAs4 after structural relaxation. The functional is PBE.

Unit cell a=4.084 b=7.081 c=7.078 alpha=109.40 beta=90.00 gamma=90.00
Each line ends with the local moment (μB).
Element x y z (fractional)
Ce (0.500, 0.000, 0.500)  0.52
Ce (0.000, 0.500, 0.500)  0.54
Er (0.500, 0.500, 0.000)  0.00
Zr (0.000, 0.000, 0.000)  0.04
As (0.500, 0.239, 0.234)  -0.01
As (0.500, 0.761, 0.766)  -0.01
As (0.000, 0.248, 0.763)  -0.01
As (0.000, 0.752, 0.237)  -0.01

Properties
ρ: 7.2 g cm⁻³
formation energy from the elements: -1.38 eV/atom

***

No. 9
This record from Alexandria via LeMat-Bulk describes Ce3ErZr2As6 after structural relaxation. The functional is PBE.

Unit cell a=7.038 b=7.038 c=7.048 alpha=99.59 beta=99.59 gamma=120.00
Each line ends with the local moment (μB).
Element x y z (fractional)
Ce (0.164, 0.836, 0.500)  0.41
Ce (0.836, 0.164, 0.500)  0.41
Ce (0.500, 0.500, 0.500)  0.43
Er (0.000, 0.000, 0.000)  -0.01
Zr (0.333, 0.667, 0.000)  0.02
Zr (0.667, 0.333, 0.000)  0.02
As (0.921, 0.582, 0.765)  -0.01
As (0.738, 0.738, 0.232)  -0.01
As (0.079, 0.418, 0.235)  -0.01
As (0.582, 0.921, 0.765)  -0.01
As (0.262, 0.262, 0.768)  -0.01
As (0.418, 0.079, 0.235)  -0.01

Properties
ρ: 7.1 g cm⁻³
formation energy from the elements: -1.35 eV/atom

***

No. 10
This record from Alexandria via LeMat-Bulk describes CeEu2As after structural relaxation. The functional is PBE.

Unit cell a=3.964 b=3.964 c=11.118 alpha=79.73 beta=79.73 gamma=60.00
Each line ends with the local moment (μB).
Element x y z (fractional)
Eu (0.111, 0.111, 0.666)  -6.79
Eu (0.889, 0.889, 0.334)  -6.79
As (0.500, 0.500, 0.500)  0.14
Ce (0.000, 0.000, 0.000)  1.31

Properties
ρ: 5.8 g cm⁻³
formation energy from the elements: -0.25 eV/atom

***

No. 11
This record from Alexandria via LeMat-Bulk describes Ce2AsF after structural relaxation. The functional is PBE.

Unit cell a=5.727 b=5.727 c=11.054 alpha=90.01 beta=90.00 gamma=90.00
Each line ends with the local moment (μB).
Element x y z (fractional)
Ce (0.751, 0.000, 0.885)  0.65
Ce (0.249, 0.000, 0.115)  0.65
Ce (0.751, 0.500, 0.615)  0.65
Ce (0.249, 0.500, 0.385)  0.65
Ce (0.750, 0.500, 0.135)  0.65
Ce (0.250, 0.500, 0.865)  0.65
Ce (0.750, 0.000, 0.365)  0.65
Ce (0.250, 0.000, 0.635)  0.65
As (0.250, 0.000, 0.375)  -0.02
As (0.750, 0.000, 0.625)  -0.02
As (0.250, 0.500, 0.125)  -0.02
As (0.750, 0.500, 0.875)  -0.02
F (0.249, 0.500, 0.625)  -0.01
F (0.751, 0.500, 0.375)  -0.01
F (0.249, 0.000, 0.875)  -0.01
F (0.751, 0.000, 0.125)  -0.01

Properties
ρ: 6.9 g cm⁻³
E: -6.378 eV/atom

***

No. 12
This record from Alexandria via LeMat-Bulk describes Ce3AsF3 after structural relaxation. The functional is PBE.

Unit cell a=6.988 b=6.988 c=8.140 alpha=64.58 beta=64.58 gamma=60.00
Each line ends with the local moment (μB).
Element x y z (fractional)
Ce (0.242, 0.595, 0.245)  1.07
Ce (0.919, 0.242, 0.245)  1.07
Ce (0.595, 0.919, 0.245)  1.07
Ce (0.405, 0.081, 0.755)  1.07
Ce (0.081, 0.758, 0.755)  1.07
Ce (0.758, 0.405, 0.755)  1.07
As (0.334, 0.334, 0.999)  -0.04
As (0.666, 0.666, 0.001)  -0.04
F (0.473, 0.791, 0.606)  0.00
F (0.791, 0.131, 0.606)  0.00
F (0.131, 0.473, 0.606)  0.00
F (0.869, 0.527, 0.394)  0.00
F (0.209, 0.869, 0.394)  0.00
F (0.527, 0.209, 0.394)  0.00

Properties
ρ: 6.1 g cm⁻³
E: -6.529 eV/atom

***

No. 13
This record from Alexandria via LeMat-Bulk describes Ce2AsF after structural relaxation. The functional is PBE.

Unit cell a=4.090 b=4.090 c=8.395 alpha=75.90 beta=75.90 gamma=60.00
Each line ends with the local moment (μB).
Element x y z (fractional)
As (0.500, 0.500, 0.500)  -0.03
Ce (0.095, 0.095, 0.714)  0.96
Ce (0.905, 0.905, 0.286)  0.96
F (0.000, 0.000, 0.000)  -0.01

Properties
ρ: 5.3 g cm⁻³
E: -6.356 eV/atom

***

No. 14
This record from Alexandria via LeMat-Bulk describes Ce2AsF4 after structural relaxation. The functional is PBE.

Unit cell a=3.875 b=7.561 c=7.561 alpha=90.00 beta=90.00 gamma=90.00
Each line ends with the local moment (μB).
Element x y z (fractional)
Ce (0.000, 0.219, 0.781)  0.56
Ce (0.000, 0.781, 0.219)  0.56
Ce (0.500, 0.719, 0.719)  0.56
Ce (0.500, 0.281, 0.281)  0.56
As (0.500, 0.000, 0.000)  -0.06
As (0.000, 0.500, 0.500)  -0.06
F (0.000, 0.089, 0.333)  -0.01
F (0.000, 0.911, 0.667)  -0.01
F (0.500, 0.167, 0.589)  -0.01
F (0.500, 0.833, 0.411)  -0.01
F (0.500, 0.411, 0.833)  -0.01
F (0.500, 0.589, 0.167)  -0.01
F (0.000, 0.333, 0.089)  -0.01
F (0.000, 0.667, 0.911)  -0.01

Properties
ρ: 6.5 g cm⁻³
E: -6.647 eV/atom

***

No. 15
This record from Alexandria via LeMat-Bulk describes CeAsPdF after structural relaxation. The functional is PBE.

Unit cell a=4.027 b=4.027 c=8.609 alpha=90.00 beta=90.00 gamma=90.00
Each line ends with the local moment (μB).
Element x y z (fractional)
Ce (0.500, 0.000, 0.688)  0.30
Ce (0.000, 0.500, 0.312)  0.30
As (0.000, 0.500, 0.808)  -0.02
As (0.500, 0.000, 0.192)  -0.02
Pd (0.500, 0.500, 0.000)  -0.06
Pd (0.000, 0.000, 0.000)  -0.06
F (0.000, 0.000, 0.500)  0.00
F (0.500, 0.500, 0.500)  0.00

Properties
ρ: 8.1 g cm⁻³
E: -6.344 eV/atom

***

No. 16
This record from Alexandria via LeMat-Bulk describes CeAsRhF after structural relaxation. The functional is PBE.

Unit cell a=4.015 b=4.015 c=8.545 alpha=90.00 beta=90.00 gamma=90.00
Each line ends with the local moment (μB).
Element x y z (fractional)
Ce (0.500, 0.000, 0.689)  0.65
Ce (0.000, 0.500, 0.311)  0.65
As (0.000, 0.500, 0.824)  0.01
As (0.500, 0.000, 0.176)  0.01
Rh (0.500, 0.500, 0.000)  0.05
Rh (0.000, 0.000, 0.000)  0.05
F (0.000, 0.000, 0.500)  -0.01
F (0.500, 0.500, 0.500)  -0.01

Properties
ρ: 8.1 g cm⁻³
E: -6.906 eV/atom

***

No. 17
This record from Alexandria via LeMat-Bulk describes CeFe5As3 after structural relaxation. The functional is PBE.

Unit cell a=3.869 b=6.502 c=11.122 alpha=90.00 beta=90.00 gamma=107.31
Each line ends with the local moment (μB).
Element x y z (fractional)
Ce (0.812, 0.623, 0.750)  -0.60
Ce (0.188, 0.377, 0.250)  -0.60
Fe (0.813, 0.626, 0.440)  0.35
Fe (0.187, 0.374, 0.940)  0.35
Fe (0.000, 0.000, 0.500)  2.48
Fe (0.000, 0.000, 0.000)  2.48
Fe (0.458, 0.916, 0.139)  1.67
Fe (0.542, 0.084, 0.861)  1.67
Fe (0.542, 0.084, 0.639)  1.67
Fe (0.813, 0.626, 0.060)  0.35
Fe (0.187, 0.374, 0.560)  0.35
Fe (0.458, 0.916, 0.361)  1.67
As (0.369, 0.737, 0.950)  -0.03
As (0.896, 0.791, 0.250)  -0.02
As (0.369, 0.737, 0.550)  -0.03
As (0.631, 0.263, 0.450)  -0.03
As (0.104, 0.209, 0.750)  -0.02
As (0.631, 0.263, 0.050)  -0.03

Properties
ρ: 8.0 g cm⁻³
formation energy from the elements: -0.36 eV/atom

***

No. 18
This record from Alexandria via LeMat-Bulk describes CeFe2As3 after structural relaxation. The functional is PBE.

Unit cell a=4.166 b=4.602 c=11.406 alpha=91.71 beta=90.00 gamma=90.00
Each line ends with the local moment (μB).
Element x y z (fractional)
Ce (0.250, 0.808, 0.279)  0.42
Ce (0.750, 0.192, 0.721)  0.42
Fe (0.250, 0.761, 0.981)  1.57
Fe (0.750, 0.239, 0.019)  1.57
Fe (0.750, 0.318, 0.428)  1.47
Fe (0.250, 0.682, 0.572)  1.47
As (0.750, 0.292, 0.230)  0.02
As (0.250, 0.708, 0.770)  0.02
As (0.750, 0.748, 0.080)  -0.05
As (0.250, 0.252, 0.920)  -0.05
As (0.250, 0.195, 0.507)  -0.02
As (0.750, 0.805, 0.493)  -0.02

Properties
ρ: 7.2 g cm⁻³
formation energy from the elements: -0.43 eV/atom

***

No. 19
This record from Alexandria via LeMat-Bulk describes Ce2FeAs after structural relaxation. The functional is PBE.

Unit cell a=3.106 b=3.106 c=9.882 alpha=80.96 beta=80.96 gamma=60.00
Each line ends with the local moment (μB).
Element x y z (fractional)
As (0.500, 0.500, 0.500)  0.01
Fe (0.000, 0.000, 0.000)  1.43
Ce (0.080, 0.080, 0.761)  -0.28
Ce (0.920, 0.920, 0.239)  -0.28

Properties
ρ: 8.4 g cm⁻³
formation energy from the elements: 0.03 eV/atom

***

No. 20
This record from Alexandria via LeMat-Bulk describes CeFeAs3 after structural relaxation. The functional is PBE.

Unit cell a=5.554 b=5.624 c=11.993 alpha=90.00 beta=90.00 gamma=90.00
Each line ends with the local moment (μB).
Element x y z (fractional)
Ce (0.750, 0.498, 0.697)  -0.03
Ce (0.250, 0.502, 0.303)  -0.03
Ce (0.750, 0.998, 0.303)  -0.03
Ce (0.250, 0.002, 0.697)  -0.03
Fe (0.500, 0.250, 0.088)  0.85
Fe (0.000, 0.750, 0.912)  0.85
Fe (0.500, 0.750, 0.912)  0.85
Fe (0.000, 0.250, 0.088)  0.85
As (0.000, 0.250, 0.499)  0.00
As (0.500, 0.750, 0.501)  0.00
As (0.000, 0.750, 0.501)  0.00
As (0.500, 0.250, 0.499)  0.00
As (0.250, 0.101, 0.940)  -0.04
As (0.750, 0.899, 0.060)  -0.04
As (0.250, 0.601, 0.060)  -0.04
As (0.750, 0.399, 0.940)  -0.04
As (0.250, 0.502, 0.789)  0.01
As (0.750, 0.498, 0.211)  0.01
As (0.250, 0.002, 0.211)  0.01
As (0.750, 0.998, 0.789)  0.01

Properties
ρ: 7.5 g cm⁻³
formation energy from the elements: -0.68 eV/atom

***

Record order is preserved below.
Calculated volume: 24.5, 24.4, 25.2, 24.9, 25.5, 25.2, 24.8, 24.1, 23.8, 37.0, 22.7, 21.4, 29.2, 15.8, 17.5, 17.2, 14.8, 18.2, 20.3, 18.7 Å³/atom